Entry 1:
Compound: InTc2Ag
Source: the Alexandria database
Functional: PBE
Structure: relaxed

Results
E_form = 0.6141 eV/atom
N(E_F) = 0.88 states/eV per atom
SG = No. 65
E = -5.966 eV/atom

a b c (Å): 2.766 2.766 9.361
angles (deg): 90.00 90.00 109.08
Positions (direct):
Ag  0.500  0.500  0.250
In  0.500  0.500  0.750
Tc  0.000  0.000  0.998
Tc  0.000  0.000  0.502


Entry 2:
Compound: InTc2Ag
Source: the Alexandria database
Functional: PBE
Structure: relaxed

Results
E_form = 0.5804 eV/atom
N(E_F) = 1.39 states/eV per atom
SG = No. 166
E = -6.000 eV/atom

a b c (Å): 9.553 9.553 9.553
angles (deg): 17.30 17.30 17.30
Positions (direct):
Ag  0.250  0.250  0.250
In  0.750  0.750  0.750
Tc  0.000  0.000  0.000
Tc  0.500  0.500  0.500


Entry 3:
Compound: InTcAg2
Source: the Alexandria database
Functional: PBE
Structure: relaxed

Results
E_form = 0.3325 eV/atom
N(E_F) = 0.77 states/eV per atom
SG = No. 47
E = -4.369 eV/atom

a b c (Å): 4.035 3.993 4.408
angles (deg): 90.00 90.00 90.00
Site moments in Bohr magnetons follow the coordinates.
Positions (direct):
Ag  0.000  0.000  0.000  -0.01
Ag  0.500  0.500  0.000  -0.01
In  0.500  0.000  0.500  -0.03
Tc  0.000  0.500  0.500  0.74


Entry 4:
Compound: In2TcAg
Source: the Alexandria database
Functional: PBE
Structure: relaxed

Results
E_form = 0.3491 eV/atom
N(E_F) = 0.76 states/eV per atom
SG = No. 25
E = -4.324 eV/atom

a b c (Å): 2.989 4.421 5.840
angles (deg): 90.00 90.00 90.00
Positions (direct):
Ag  0.500  0.500  0.764
In  0.000  0.000  0.967
In  0.500  0.500  0.297
Tc  0.000  0.000  0.473


Entry 5:
Compound: In2TcAg
Source: the Alexandria database
Functional: PBE
Structure: relaxed

Results
E_form = 0.3118 eV/atom
N(E_F) = 0.47 states/eV per atom
SG = No. 65
E = -4.362 eV/atom

a b c (Å): 3.055 3.055 9.261
angles (deg): 90.00 90.00 115.90
Site moments in Bohr magnetons follow the coordinates.
Positions (direct):
Ag  0.500  0.500  0.750  -0.01
In  0.000  0.000  0.011  -0.02
In  0.000  0.000  0.489  -0.02
Tc  0.500  0.500  0.250  0.68


Entry 6:
Compound: InTc2Ag
Source: the Alexandria database
Functional: PBE
Structure: relaxed

Results
E_form = 0.6279 eV/atom
N(E_F) = 1.32 states/eV per atom
SG = No. 123
E = -5.953 eV/atom

a b c (Å): 2.789 2.789 8.643
angles (deg): 90.00 90.00 90.00
Site moments in Bohr magnetons follow the coordinates.
Positions (direct):
Ag  0.500  0.500  0.250  0.01
In  0.500  0.500  0.750  0.00
Tc  0.000  0.000  0.003  0.34
Tc  0.000  0.000  0.497  0.34


Entry 7:
Compound: InTcAg2
Source: the Alexandria database
Functional: PBE
Structure: relaxed

Results
E_form = 0.4293 eV/atom
N(E_F) = 0.67 states/eV per atom
SG = No. 139
E = -4.272 eV/atom

a b c (Å): 5.202 5.202 5.202
angles (deg): 133.57 133.57 67.76
Site moments in Bohr magnetons follow the coordinates.
Positions (direct):
Ag  0.000  0.000  0.000  0.04
Ag  0.500  0.500  0.000  0.04
In  0.250  0.750  0.500  -0.06
Tc  0.750  0.250  0.500  1.82


Entry 8:
Compound: InTc2Ag
Source: the Alexandria database
Functional: PBE
Structure: relaxed

Results
E_form = 0.4170 eV/atom
N(E_F) = 0.84 states/eV per atom
SG = No. 44
E = -6.163 eV/atom

a b c (Å): 5.333 5.333 5.333
angles (deg): 145.05 127.32 64.79
Positions (direct):
Ag  0.496  0.496  0.000
In  0.756  0.256  0.500
Tc  0.018  0.018  0.000
Tc  0.230  0.730  0.500


> What is the formula in the first record?

InTc2Ag